# 1
Entry from the Alexandria database: a relaxed Mg2TlW crystal (PBE).

abc: 10.076 10.076 10.076
angles: 17.59 17.59 17.59
Fractional coordinates of all 4 atoms:
Mg (0.251, 0.251, 0.251)
Mg (0.004, 0.004, 0.004)
Tl (0.497, 0.497, 0.497)
W (0.748, 0.748, 0.748)

Output
**Total energy**: -0.3040 Ry/atom
**ΔH_f (0 K)**: 0.492 eV per atom
**Size of the total moment**: 0.0 μB/cell
**Crystal system**: trigonal



# 2
Entry from the Alexandria database: a relaxed MgTl2W crystal (PBE).

abc: 3.051 3.051 9.168
angles: 90.00 90.00 90.00
Fractional coordinates of all 4 atoms:
Tl (0.000, 0.000, 0.492)
Tl (0.000, 0.000, 0.008)
Mg (0.500, 0.500, 0.750)
W (0.500, 0.500, 0.250)

Output
**Total energy**: -0.3006 Ry/atom
**ΔH_f (0 K)**: 0.731 eV per atom
**Size of the total moment**: 0.0 μB/cell
**Crystal system**: tetragonal



# 3
Entry from the Alexandria database: a relaxed Mg2TlW crystal (PBE).

abc: 5.393 5.393 2.954
angles: 90.00 90.00 113.91
Fractional coordinates of all 4 atoms:
W (0.000, 0.500, 0.500)
Mg (0.000, 0.000, 0.000)
Mg (0.500, 0.500, 0.000)
Tl (0.500, 0.000, 0.500)

Output
**Total energy**: -0.3047 Ry/atom
**ΔH_f (0 K)**: 0.482 eV per atom
**Size of the total moment**: 0.0 μB/cell
**Crystal system**: orthorhombic



# 4
Entry from the Alexandria database: a relaxed MgTl2W crystal (PBE).

abc: 5.437 2.992 5.210
angles: 89.99 90.00 90.00
Fractional coordinates of all 4 atoms:
Tl (0.000, 0.875, 0.022)
Tl (0.500, 0.375, 0.236)
W (0.000, 0.375, 0.527)
Mg (0.500, 0.875, 0.714)

Output
**Total energy**: -0.3056 Ry/atom
**ΔH_f (0 K)**: 0.662 eV per atom
**Size of the total moment**: 0.0 μB/cell
**Crystal system**: orthorhombic



# 5
Entry from the Alexandria database: a relaxed Mg2TlW crystal (PBE).

abc: 5.503 5.503 5.503
angles: 136.27 136.27 63.56
Last column: magnetic moment on the atom in μB.
Fractional coordinates of all 4 atoms:
W (0.750, 0.250, 0.500)  0.52
Tl (0.250, 0.750, 0.500)  -0.01
Mg (0.500, 0.500, 0.000)  0.01
Mg (0.000, 0.000, 0.000)  0.01

Output
**Total energy**: -0.2951 Ry/atom
**ΔH_f (0 K)**: 0.612 eV per atom
**Size of the total moment**: 0.8 μB/cell
**Crystal system**: tetragonal



# 6
Entry from the Alexandria database: a relaxed Mg2TlW crystal (PBE).

abc: 5.872 5.872 5.872
angles: 149.17 129.51 60.34
Fractional coordinates of all 4 atoms:
W (0.249, 0.749, 0.500)
Mg (0.013, 0.013, 0.000)
Mg (0.746, 0.246, 0.500)
Tl (0.492, 0.492, 0.000)

Output
**Total energy**: -0.2973 Ry/atom
**ΔH_f (0 K)**: 0.582 eV per atom
**Size of the total moment**: 0.0 μB/cell
**Crystal system**: orthorhombic